# Ba2NaMoI, single point on PBEsol structure, DFT meta-GGA SCAN
data_Ba2NaMoI
_space_group_name_H-M_alt 'P 4/m m m'
_space_group_IT_number 123
_space_group_name_Hall '-P 4 2'
_cell_length_a 6.545
_cell_length_b 6.545
_cell_length_c 4.993
_cell_angle_alpha 90.00
_cell_angle_beta 90.00
_cell_angle_gamma 90.00
loop_
_atom_site_label
_atom_site_fract_x
_atom_site_fract_y
_atom_site_fract_z
Ba1 0.000 0.500 0.000
Na1 0.000 0.000 0.500
Mo1 0.500 0.500 0.500
I1 0.500 0.500 0.000
# * energy: -152.668 eV for the cell shown

***

# MgGaAsBr2, single point on PBEsol structure, DFT meta-GGA SCAN
data_MgGaAsBr2
_space_group_name_H-M_alt 'P 4/m m m'
_space_group_IT_number 123
_space_group_name_Hall '-P 4 2'
_cell_length_a 5.212
_cell_length_b 5.212
_cell_length_c 5.202
_cell_angle_alpha 90.00
_cell_angle_beta 90.00
_cell_angle_gamma 90.00
loop_
_atom_site_label
_atom_site_fract_x
_atom_site_fract_y
_atom_site_fract_z
Mg1 0.000 0.000 0.000
Ga1 0.500 0.500 0.500
As1 0.000 0.000 0.500
Br1 0.000 0.500 0.000
# * energy: -81.946 eV for the cell shown

***

| no. | formation energy without anion corrections (eV/f.u.) |
| --- | --- |
| 1 | 2.27 |
| 2 | -1.52 |